The following is a DFT calculation (PBE+U) of a relaxed structure of Rb3PaFe2O6.

Summary:
The final energy comes out at -6.528 eV per atom. As for the space group: P-3m1.

Cell lengths 6.2864, 6.2864, 7.3966 Å; angles 90.00, 90.00, 120.00 degrees
Fractional positions:
Rb1 0.0000 0.0000 0.0000
Rb2 0.3333 0.6667 0.7430
Rb3 0.6667 0.3333 0.2570
Pa1 0.0000 0.0000 0.5000
Fe1 0.3333 0.6667 0.3039
Fe2 0.6667 0.3333 0.6961
O1 0.1594 0.3189 0.3170
O2 0.1594 0.8406 0.3170
O3 0.3189 0.1594 0.6830
O4 0.6811 0.8406 0.3170
O5 0.8406 0.1594 0.6830
O6 0.8406 0.6811 0.6830